1.
TbPm2Th | PBE-GGA | optimized geometry

Geometry as POSCAR:
```
TbPm2Th
1.0
12.487 0.000 0.000
0.000 7.191 0.000
-2.073 0.000 5.922
Tb Pm Th
4 8 4
Direct
0.000 0.128 0.250
0.000 0.872 0.750
0.500 0.372 0.750
0.500 0.628 0.250
0.248 0.373 0.248
0.248 0.627 0.748
0.252 0.127 0.752
0.252 0.873 0.252
0.748 0.127 0.748
0.748 0.873 0.248
0.752 0.373 0.252
0.752 0.627 0.752
0.000 0.383 0.750
0.000 0.617 0.250
0.500 0.117 0.250
0.500 0.883 0.750
```

2.
Tb5Pm6Th | PBE-GGA | optimized geometry

Geometry as POSCAR:
```
Tb5Pm6Th
1.0
-2.553 5.104 7.648
2.553 -5.104 7.648
2.553 5.104 -7.648
Tb Pm Th
5 6 1
Direct
0.000 0.000 0.000
0.167 0.667 0.500
0.336 0.336 0.000
0.664 0.664 0.000
0.833 0.333 0.500
0.086 0.835 0.251
0.253 0.500 0.753
0.415 0.165 0.251
0.585 0.835 0.749
0.747 0.500 0.247
0.914 0.165 0.749
0.500 0.000 0.500
```

3.
Tb3Pm4Th | PBE-GGA | optimized geometry

Geometry as POSCAR:
```
Tb3Pm4Th
1.0
11.639 0.000 0.000
0.000 7.323 0.000
0.000 0.000 6.306
Tb Pm Th
6 8 2
Direct
0.000 0.120 0.000
0.250 0.118 0.325
0.250 0.882 0.825
0.500 0.880 0.500
0.750 0.118 0.325
0.750 0.882 0.825
0.000 0.369 0.494
0.000 0.635 0.998
0.249 0.628 0.341
0.251 0.372 0.841
0.500 0.365 0.498
0.500 0.631 0.994
0.749 0.372 0.841
0.751 0.628 0.341
0.000 0.880 0.499
0.500 0.120 0.999
```

Number 1: electronic total energy -21.37 eV/f.u., total moment 0.000 μB per formula unit, formation energy from the elements 0.044 eV/atom. Number 2: electronic total energy -58.74 eV/f.u., total moment 0.000 μB per formula unit, formation energy from the elements 0.028 eV/atom. Number 3: electronic total energy -39.95 eV/f.u., total moment 0.001 μB per formula unit, formation energy from the elements 0.045 eV/atom.